# MgAg2Sb

An optimized crystal structure of MgAg2Sb (PBEsol, Alexandria via LeMat-Bulk).

Cell lengths 3.1714, 3.1714, 9.3653 Å; angles 80.25, 80.25, 60.00 degrees
Element x y z (fractional)
Ag (0.2458, 0.2458, 0.2625)
Ag (0.7542, 0.7542, 0.7375)
Mg (0.5000, 0.5000, 0.5000)
Sb (0.0000, 0.0000, 0.0000)

Summary:
E_form (uncorrected), eV/atom: 0.024

***

# MgAg2Sb

An optimized crystal structure of MgAg2Sb (PBEsol, Alexandria via LeMat-Bulk).

Cell lengths 3.1496, 5.0333, 5.3635 Å; angles 99.78, 90.00, 108.23 degrees
Element x y z (fractional)
Ag (0.0047, 0.0095, 0.0222)
Ag (0.7495, 0.4989, 0.2516)
Mg (0.4933, 0.9866, 0.4647)
Sb (0.2525, 0.5050, 0.7615)

Summary:
E_form (uncorrected), eV/atom: -0.044

***

# MgAg2Sb

An optimized crystal structure of MgAg2Sb (PBEsol, Alexandria via LeMat-Bulk).

Cell lengths 4.2246, 4.2246, 5.2823 Å; angles 113.81, 113.81, 89.89 degrees
Element x y z (fractional)
Sb (0.2499, 0.7501, 0.5000)
Mg (0.0006, 0.9994, 0.0000)
Ag (0.4995, 0.5005, 0.0000)
Ag (0.7499, 0.2501, 0.5000)

Summary:
E_form (uncorrected), eV/atom: -0.101

***

# MgAgSb2

An optimized crystal structure of MgAgSb2 (PBEsol, Alexandria via LeMat-Bulk).

Cell lengths 4.3996, 4.1971, 4.8844 Å; angles 90.00, 90.00, 90.00 degrees
Element x y z (fractional)
Ag (0.5000, 0.5000, 0.0000)
Mg (0.0000, 0.5000, 0.5000)
Sb (0.0000, 0.0000, 0.0000)
Sb (0.5000, 0.0000, 0.5000)

Summary:
E_form (uncorrected), eV/atom: -0.009

***

# MgAgSb2

An optimized crystal structure of MgAgSb2 (PBEsol, Alexandria via LeMat-Bulk).

Cell lengths 3.3189, 3.3189, 8.2206 Å; angles 90.00, 90.00, 90.00 degrees
Element x y z (fractional)
Ag (0.5000, 0.5000, 0.0000)
Mg (0.5000, 0.5000, 0.5000)
Sb (0.0000, 0.0000, 0.7557)
Sb (0.0000, 0.0000, 0.2443)

Summary:
E_form (uncorrected), eV/atom: 0.014

***

# MgAg2Sb

An optimized crystal structure of MgAg2Sb (PBEsol, Alexandria via LeMat-Bulk).

Cell lengths 3.1042, 4.9213, 5.4999 Å; angles 99.04, 90.00, 108.38 degrees
Element x y z (fractional)
Sb (0.0000, 0.0000, 0.5000)
Mg (0.5000, 0.0000, 0.0000)
Ag (0.7566, 0.5133, 0.7789)
Ag (0.2434, 0.4867, 0.2211)

Summary:
E_form (uncorrected), eV/atom: -0.082

***

# MgAgSb2

An optimized crystal structure of MgAgSb2 (PBEsol, Alexandria via LeMat-Bulk).

Cell lengths 4.2182, 4.2182, 5.8923 Å; angles 110.97, 110.97, 90.00 degrees
Element x y z (fractional)
Ag (0.5000, 0.5000, 0.0000)
Mg (0.2500, 0.7500, 0.5000)
Sb (0.0000, 0.0000, 0.0000)
Sb (0.7500, 0.2500, 0.5000)

Summary:
E_form (uncorrected), eV/atom: -0.005

***

# MgAg2Sb

An optimized crystal structure of MgAg2Sb (PBEsol, Alexandria via LeMat-Bulk).

Cell lengths 3.4378, 3.8657, 5.9019 Å; angles 90.00, 90.00, 90.00 degrees
Element x y z (fractional)
Sb (0.5000, 0.5000, 0.5000)
Mg (0.5000, 0.5000, 0.0000)
Ag (0.0000, 0.0000, 0.7633)
Ag (0.0000, 0.0000, 0.2367)

Summary:
E_form (uncorrected), eV/atom: -0.091

***

# MgAg2Sb

An optimized crystal structure of MgAg2Sb (PBEsol, Alexandria via LeMat-Bulk).

Cell lengths 4.2239, 4.2239, 5.2693 Å; angles 113.63, 113.63, 90.00 degrees
Element x y z (fractional)
Sb (0.0000, 0.0000, 0.0000)
Mg (0.5000, 0.5000, 0.0000)
Ag (0.2500, 0.7500, 0.5000)
Ag (0.7500, 0.2500, 0.5000)

Summary:
E_form (uncorrected), eV/atom: -0.114

***

# MgAgSb2Te

An optimized crystal structure of MgAgSb2Te (PBEsol, Alexandria via LeMat-Bulk).

Cell lengths 5.2548, 5.2548, 5.4661 Å; angles 90.00, 90.00, 90.00 degrees
Element x y z (fractional)
Sb (0.0000, 0.5000, 0.0000)
Sb (0.5000, 0.0000, 0.0000)
Mg (0.5000, 0.5000, 0.5000)
Te (0.0000, 0.0000, 0.5000)
Ag (0.0000, 0.0000, 0.0000)

Summary:
E_form (uncorrected), eV/atom: 0.508

***

# MgScAg2

An optimized crystal structure of MgScAg2 (PBEsol, Alexandria via LeMat-Bulk).

Cell lengths 3.2389, 4.7985, 4.7985 Å; angles 90.00, 90.00, 90.00 degrees
Element x y z (fractional)
Sc (0.5000, 0.0000, 0.0000)
Mg (0.5000, 0.5000, 0.5000)
Ag (0.0000, 0.0000, 0.5000)
Ag (0.0000, 0.5000, 0.0000)

Summary:
DFT formation energy, eV per atom: -0.23

***

# MgScAg2

An optimized crystal structure of MgScAg2 (PBEsol, Alexandria via LeMat-Bulk).

Cell lengths 2.9982, 4.8396, 5.5707 Å; angles 98.16, 90.00, 108.04 degrees
Element x y z (fractional)
Ag (0.7517, 0.5033, 0.7565)
Ag (0.2483, 0.4967, 0.2435)
Mg (0.5000, 0.0000, 0.0000)
Sc (0.0000, 0.0000, 0.5000)

Summary:
DFT formation energy, eV per atom: -0.08

***

# MgScAg

An optimized crystal structure of MgScAg (PBEsol, Alexandria via LeMat-Bulk).

Cell lengths 3.0712, 4.7419, 4.7419 Å; angles 120.00, 90.00, 90.00 degrees
Element x y z (fractional)
Sc (0.3334, 0.6667, 0.3333)
Mg (0.8335, 0.3333, 0.6667)
Ag (0.8331, 0.0000, 0.0000)

Summary:
DFT formation energy, eV per atom: -0.12

***

# MgScAg2

An optimized crystal structure of MgScAg2 (PBEsol, Alexandria via LeMat-Bulk).

Cell lengths 3.4664, 3.4455, 6.3747 Å; angles 90.00, 90.00, 90.00 degrees
Element x y z (fractional)
Ag (0.0000, 0.0000, 0.0044)
Ag (0.5000, 0.5000, 0.2507)
Mg (0.0000, 0.0000, 0.4633)
Sc (0.5000, 0.5000, 0.7816)

Summary:
DFT formation energy, eV per atom: -0.17

***

# MgScAg

An optimized crystal structure of MgScAg (PBEsol, Alexandria via LeMat-Bulk).

Cell lengths 3.2563, 3.2563, 6.1455 Å; angles 105.36, 105.36, 90.00 degrees
Element x y z (fractional)
Sc (0.3476, 0.3476, 0.6952)
Mg (0.6492, 0.6492, 0.2984)
Ag (0.0032, 0.0032, 0.0064)

Summary:
DFT formation energy, eV per atom: -0.17

***

# MgScAg2

An optimized crystal structure of MgScAg2 (PBEsol, Alexandria via LeMat-Bulk).

Cell lengths 4.2612, 4.2612, 5.0460 Å; angles 114.98, 114.98, 90.00 degrees
Element x y z (fractional)
Ag (0.0000, 0.0000, 0.0000)
Ag (0.7500, 0.2500, 0.5000)
Mg (0.5000, 0.5000, 0.0000)
Sc (0.2500, 0.7500, 0.5000)

Summary:
DFT formation energy, eV per atom: -0.18

***

# Mg2ScAg2

An optimized crystal structure of Mg2ScAg2 (PBEsol, Alexandria via LeMat-Bulk).

Cell lengths 3.1745, 7.8278, 7.8278 Å; angles 90.00, 90.00, 90.00 degrees
Element x y z (fractional)
Sc (0.0000, 0.0000, 0.0000)
Sc (0.0000, 0.5000, 0.5000)
Mg (0.5000, 0.1599, 0.6599)
Mg (0.5000, 0.6599, 0.8401)
Mg (0.5000, 0.8401, 0.3401)
Mg (0.5000, 0.3401, 0.1599)
Ag (0.0000, 0.3640, 0.8640)
Ag (0.0000, 0.8640, 0.6360)
Ag (0.0000, 0.6360, 0.1360)
Ag (0.0000, 0.1360, 0.3640)

Summary:
DFT formation energy, eV per atom: -0.14

***

# MgScAg2

An optimized crystal structure of MgScAg2 (PBEsol, Alexandria via LeMat-Bulk).

Cell lengths 3.2391, 4.8581, 5.1849 Å; angles 103.73, 108.20, 90.00 degrees
Element x y z (fractional)
Sc (0.7405, 0.2071, 0.4810)
Mg (0.5113, 0.5492, 0.0225)
Ag (0.9937, 0.0243, 0.9874)
Ag (0.2545, 0.7194, 0.5091)

Summary:
DFT formation energy, eV per atom: -0.20

***

# MgAg2Se

An optimized crystal structure of MgAg2Se (PBEsol, Alexandria via LeMat-Bulk).

Cell lengths 3.9027, 3.9027, 5.5387 Å; angles 110.63, 110.63, 90.00 degrees
Element x y z (fractional)
Ag (0.7500, 0.2500, 0.5000)
Ag (0.2500, 0.7500, 0.5000)
Mg (0.0000, 0.0000, 0.0000)
Se (0.5000, 0.5000, 0.0000)

Summary:
E_form (uncorrected), eV/atom: -0.245
Polymorph energy (0 for the lowest one), eV per formula unit: 0.29

***

# MgAg2Se2

An optimized crystal structure of MgAg2Se2 (PBEsol, Alexandria via LeMat-Bulk).

Cell lengths 3.8019, 3.8019, 7.5880 Å; angles 104.51, 104.51, 90.00 degrees
Element x y z (fractional)
Mg (0.0000, 0.0000, 0.0000)
Se (0.3924, 0.3924, 0.7847)
Se (0.6076, 0.6076, 0.2153)
Ag (0.2500, 0.7500, 0.5000)
Ag (0.7500, 0.2500, 0.5000)

Summary:
E_form (uncorrected), eV/atom: -0.247

***

# MgAg2Se

An optimized crystal structure of MgAg2Se (PBEsol, Alexandria via LeMat-Bulk).

Cell lengths 3.5448, 3.5791, 6.3186 Å; angles 106.45, 90.00, 90.00 degrees
Element x y z (fractional)
Mg (0.0000, 0.9243, 0.8485)
Ag (0.0000, 0.1655, 0.3310)
Ag (0.5000, 0.5680, 0.1360)
Se (0.5000, 0.3417, 0.6834)

Summary:
E_form (uncorrected), eV/atom: -0.317
Polymorph energy (0 for the lowest one), eV per formula unit: 0.00

***

# MgAg2Se

An optimized crystal structure of MgAg2Se (PBEsol, Alexandria via LeMat-Bulk).

Cell lengths 4.7165, 4.7165, 4.7165 Å; angles 60.00, 60.00, 60.00 degrees
Element x y z (fractional)
Ag (0.0000, 0.0000, 0.0000)
Ag (0.7500, 0.7500, 0.7500)
Mg (0.5000, 0.5000, 0.5000)
Se (0.2500, 0.2500, 0.2500)

Summary:
E_form (uncorrected), eV/atom: -0.155
Polymorph energy (0 for the lowest one), eV per formula unit: 0.65

***

# MgAg2Se

An optimized crystal structure of MgAg2Se (PBEsol, Alexandria via LeMat-Bulk).

Cell lengths 4.7231, 4.7231, 4.7231 Å; angles 60.00, 60.00, 60.00 degrees
Element x y z (fractional)
Ag (0.2500, 0.2500, 0.2500)
Ag (0.7500, 0.7500, 0.7500)
Mg (0.0000, 0.0000, 0.0000)
Se (0.5000, 0.5000, 0.5000)

Summary:
E_form (uncorrected), eV/atom: -0.077
Polymorph energy (0 for the lowest one), eV per formula unit: 0.96

***

# MgSiAg3

An optimized crystal structure of MgSiAg3 (PBEsol, Alexandria via LeMat-Bulk).

Cell lengths 4.7102, 4.7102, 4.7102 Å; angles 90.00, 90.00, 90.00 degrees
Element x y z (fractional)
Si (0.0000, 0.0000, 0.0000)
Mg (0.5000, 0.5000, 0.5000)
Ag (0.0000, 0.5000, 0.0000)
Ag (0.0000, 0.0000, 0.5000)
Ag (0.5000, 0.0000, 0.0000)

Summary:
E_form (uncorrected), eV/atom: 0.274

***

# SmMgAg

An optimized crystal structure of SmMgAg (PBEsol, Alexandria via LeMat-Bulk).

Cell lengths 4.1274, 7.7000, 7.7000 Å; angles 120.00, 90.00, 90.00 degrees
Element x y z (fractional)
Mg (0.0000, 0.7556, 0.7556)
Mg (0.0000, 0.2444, 0.0000)
Mg (0.0000, 0.0000, 0.2444)
Ag (0.0000, 0.6667, 0.3333)
Ag (0.0000, 0.3333, 0.6667)
Ag (0.5000, 0.0000, 0.0000)
Sm (0.5000, 0.4147, 0.4147)
Sm (0.5000, 0.0000, 0.5853)
Sm (0.5000, 0.5853, 0.0000)

Summary:
DFT formation energy, eV per atom: -0.26

***

# Mg2Ag2Sn

An optimized crystal structure of Mg2Ag2Sn (PBEsol, Alexandria via LeMat-Bulk).

Cell lengths 3.2897, 7.7207, 7.7207 Å; angles 90.00, 90.00, 90.00 degrees
Element x y z (fractional)
Mg (0.5000, 0.1653, 0.6653)
Mg (0.5000, 0.6653, 0.8347)
Mg (0.5000, 0.8347, 0.3347)
Mg (0.5000, 0.3347, 0.1653)
Sn (0.0000, 0.0000, 0.0000)
Sn (0.0000, 0.5000, 0.5000)
Ag (0.0000, 0.3698, 0.8698)
Ag (0.0000, 0.8698, 0.6302)
Ag (0.0000, 0.6302, 0.1302)
Ag (0.0000, 0.1302, 0.3698)

Summary:
DFT formation energy, eV per atom: -0.16

***

# SrMgAg

An optimized crystal structure of SrMgAg (PBEsol, Alexandria via LeMat-Bulk).

Cell lengths 4.2693, 4.8038, 4.8038 Å; angles 120.00, 90.00, 90.00 degrees
Element x y z (fractional)
Sr (0.5000, 0.6667, 0.3333)
Mg (0.0000, 0.3333, 0.6667)
Ag (0.0000, 0.0000, 0.0000)

Summary:
DFT formation energy, eV per atom: -0.16

***

# SrMgAg2

An optimized crystal structure of SrMgAg2 (PBEsol, Alexandria via LeMat-Bulk).

Cell lengths 4.7225, 4.7225, 5.9052 Å; angles 66.43, 66.43, 60.00 degrees
Element x y z (fractional)
Sr (0.5000, 0.5000, 0.5000)
Mg (0.0000, 0.0000, 0.0000)
Ag (0.7016, 0.7016, 0.8952)
Ag (0.2984, 0.2984, 0.1048)

Summary:
DFT formation energy, eV per atom: -0.24

***

# Sr3MgAg

An optimized crystal structure of Sr3MgAg (PBEsol, Alexandria via LeMat-Bulk).

Cell lengths 6.0146, 6.0146, 6.0146 Å; angles 90.00, 90.00, 90.00 degrees
Element x y z (fractional)
Sr (0.0000, 0.5000, 0.0000)
Sr (0.0000, 0.0000, 0.5000)
Sr (0.5000, 0.0000, 0.0000)
Mg (0.5000, 0.5000, 0.5000)
Ag (0.0000, 0.0000, 0.0000)

Summary:
DFT formation energy, eV per atom: 0.04
Polymorph energy (0 for the lowest one), eV per formula unit: 0.00

***

# SrMgAg2

An optimized crystal structure of SrMgAg2 (PBEsol, Alexandria via LeMat-Bulk).

Cell lengths 3.6202, 5.0864, 5.0864 Å; angles 90.00, 90.00, 90.00 degrees
Element x y z (fractional)
Ag (0.0000, 0.0000, 0.5000)
Ag (0.0000, 0.5000, 0.0000)
Mg (0.5000, 0.5000, 0.5000)
Sr (0.5000, 0.0000, 0.0000)

Summary:
DFT formation energy, eV per atom: -0.08

***

no.,calculated total energy (eV for the cell shown)
1,-12.80
2,-13.07
3,-13.30
4,-14.18
5,-14.09
6,-13.22
7,-14.16
8,-13.26
9,-13.35
10,-15.13
11,-15.85
12,-15.25
13,-11.99
14,-15.62
15,-12.16
16,-15.66
17,-34.69
18,-15.73
19,-13.17
20,-17.27
21,-13.46
22,-12.81
23,-12.50
24,-16.03
25,-32.74
26,-30.28
27,-7.34
28,-11.13
29,-10.33
30,-10.50